No. 1
The following is a DFT calculation (PBE) of an optimized crystal structure of TmRhPb2.

a = 3.438 Å, b = 3.438 Å, c = 10.494 Å
α = 80.57°, β = 80.57°, γ = 60.00°
Positions (direct):
1 Pb 0.101 0.101 0.696
2 Pb 0.899 0.899 0.304
3 Tm 0.000 0.000 0.000
4 Rh 0.500 0.500 0.500


No. 2
The following is a DFT calculation (PBE) of an optimized crystal structure of Tm5Rh4Pb.

a = 3.323 Å, b = 3.323 Å, c = 18.942 Å
α = 90.00°, β = 90.00°, γ = 90.00°
Positions (direct):
1 Tm 0.500 0.500 0.132
2 Tm 0.500 0.500 0.316
3 Tm 0.500 0.500 0.500
4 Tm 0.500 0.500 0.684
5 Tm 0.500 0.500 0.868
6 Rh 0.000 0.000 0.222
7 Rh 0.000 0.000 0.408
8 Rh 0.000 0.000 0.592
9 Rh 0.000 0.000 0.778
10 Pb 0.000 0.000 0.000


No. 3
The following is a DFT calculation (PBE) of an optimized crystal structure of Tm2RhPb.

Distance to the lowest polymorph of the same formula in eV/atom: 0.130

a = 3.744 Å, b = 3.744 Å, c = 8.847 Å
α = 77.78°, β = 77.78°, γ = 60.00°
Positions (direct):
1 Pb 0.500 0.500 0.500
2 Tm 0.731 0.731 0.807
3 Tm 0.269 0.269 0.193
4 Rh 0.000 0.000 0.000


Computed formation enthalpy at 0 K, in the same sequence as the records: 0.42; -8.61; -2.32 eV/f.u..